Below is MnFeCoRh after structural relaxation, with properties calculated at the GGA-PBE level.

The structure in POSCAR format:
```
MnFeCoRh
1.0
-3.109 -2.796 -0.036
-0.852 -2.134 -3.493
0.864 -4.085 -0.217
Rh Mn Co Fe
1 1 1 1
Cartesian
-2.323 -6.761 -2.810
0.000 0.000 0.000
-0.774 -2.254 -0.937
-1.549 -4.508 -1.873
```

As for the space-group type: F-43m (216). As for the density of states at the Fermi level: 2.0 states/eV per cell. The calculation puts the volume at 52 Å³ per cell. The total energy comes out at -8.07 eV/atom.